Entry 1:
Here is a geometry-optimized Ca2PrSnSe4 structure from Alexandria. Energies are from PBE.

Output
Symmetry = P2/m
Density of states at the Fermi level = 3.17 states/eV/f.u.
Raw formation energy = -1.5178 eV/atom
Spin magnetization = 0.00 μB/f.u.

Cell: 7.375 4.226 7.416 Å, 90.00 109.27 90.00°
Positions (direct):
Ca 0.000 0.000 0.000
Ca 0.000 0.500 0.500
Pr 0.500 0.000 0.500
Sn 0.500 0.500 0.000
Se 0.243 0.500 0.246
Se 0.245 0.000 0.747
Se 0.755 0.000 0.253
Se 0.757 0.500 0.754

---

Entry 2:
Here is a geometry-optimized SrCaPr2Se4 structure from Alexandria. Energies are from PBE.

Output
Symmetry = P2/m
Density of states at the Fermi level = 3.46 states/eV/f.u.
Raw formation energy = -1.9089 eV/atom
Spin magnetization = 0.00 μB/f.u.

Cell: 7.370 4.258 7.542 Å, 90.00 109.02 90.00°
Positions (direct):
Sr 0.000 0.000 0.000
Ca 0.500 0.500 0.000
Pr 0.000 0.500 0.500
Pr 0.500 0.000 0.500
Se 0.256 0.500 0.251
Se 0.257 0.000 0.754
Se 0.743 0.000 0.246
Se 0.744 0.500 0.749